This record from the Alexandria database describes crystalline UAs2IrRu2 at its relaxed geometry. The functional is PBE.

Properties
For the magnetic moment, the calculation gives 0.9 μB/f.u. The calculation puts the energy of formation at -0.275 eV per atom. For the density of states at the Fermi level, the calculation gives 12.99 states/eV per cell.

Structure (extended XYZ):
```
12
Lattice="-0.7818 -3.9240 -0.6029 3.4726 0.1421 -5.4283 6.3773 -1.8898 4.0302" Properties=species:S:1:pos:R:3 pbc="T T T"
U 5.9901 -0.6710 -3.4002
U 5.1978 -1.0218 -0.0894
As 6.6238 -1.6610 2.2219
As 2.4614 -2.5330 -0.2838
As 3.2793 -0.0844 -3.7031
As 6.4967 -3.1432 -1.5451
Ir 4.2897 -3.1786 1.5472
Ir 4.0528 -2.5228 -2.4139
Ru 0.0372 -1.9890 -0.6806
Ru 2.5596 -0.3130 -1.2821
Ru 7.8866 -3.7294 0.4684
Ru 8.1960 -1.3976 -1.5316
```